First-principles (GGA+U) data for a relaxed SrMnAs2O8 crystal, as listed in the Alexandria database.

**Magnetic moment**: 0.246 μB/atom
**VASP energy**: -75.42 eV/cell

Cell: 4.8685 4.8685 8.4974 Å, 73.35 73.35 60.00°
Atoms (fractional coordinates):
Sr (0.0000, 0.0000, 0.0000)
O (0.3114, 0.3114, 0.0657)
O (0.8672, 0.5469, 0.3380)
As (0.2406, 0.2406, 0.2782)
As (0.7594, 0.7594, 0.7218)
Mn (0.5000, 0.5000, 0.5000)
O (0.7521, 0.4531, 0.6620)
O (0.5469, 0.2479, 0.3380)
O (0.6886, 0.6886, 0.9343)
O (0.4531, 0.1328, 0.6620)
O (0.1328, 0.7521, 0.6620)
O (0.2479, 0.8672, 0.3380)